Compound: MgMn4Os
Source: Alexandria via LeMat-Bulk
Functional: GGA-PBE
Structure: relaxed

Output
DFT formation energy in eV/f.u.: 0.835
Fermi-level density of states in states/eV/f.u.: 6.89
Space group: F-43m (216)

```
data_MgMn4Os
_cell_length_a 4.705
_cell_length_b 4.705
_cell_length_c 4.705
_cell_angle_alpha 60.00
_cell_angle_beta 60.00
_cell_angle_gamma 60.00
_symmetry_space_group_name_H-M 'P 1'
_symmetry_Int_Tables_number 1
loop_
_symmetry_equiv_pos_as_xyz
'x,y,z'
loop_
_atom_site_label
_atom_site_type_symbol
_atom_site_fract_x
_atom_site_fract_y
_atom_site_fract_z
_atom_site_occupancy
Mg1 Mg 0.000 0.000 0.000 1
Mn1 Mn 0.880 0.373 0.373 1
Mn2 Mn 0.373 0.373 0.373 1
Mn3 Mn 0.373 0.373 0.880 1
Mn4 Mn 0.373 0.880 0.373 1
Os1 Os 0.750 0.750 0.750 1
```